a) The following is a DFT calculation (PBE-GGA) of a relaxed structure of Fe2Cu3Pd8.

a = 4.766 Å, b = 7.059 Å, c = 6.258 Å
α = 116.47°, β = 82.08°, γ = 98.96°
Site moments in Bohr magnetons follow the coordinates.
Atoms (fractional coordinates):
Fe1 0.251 0.082 0.460  3.16
Fe2 0.749 0.918 0.540  3.16
Cu1 0.500 0.000 0.000  0.06
Cu2 0.020 0.152 0.929  0.06
Cu3 0.980 0.848 0.071  0.06
Pd1 0.887 0.545 0.232  0.20
Pd2 0.113 0.455 0.768  0.20
Pd3 0.792 0.206 0.375  0.23
Pd4 0.208 0.794 0.625  0.23
Pd5 0.662 0.625 0.699  0.18
Pd6 0.561 0.281 0.835  0.23
Pd7 0.439 0.719 0.165  0.23
Pd8 0.338 0.375 0.301  0.18

Output
* calculated volume: 14.28 Å³/atom
* SG: P-1 (2)

b) The following is a DFT calculation (PBE-GGA) of a relaxed structure of Fe2Cu3Pd8.

a = 4.152 Å, b = 8.285 Å, c = 7.260 Å
α = 124.84°, β = 90.00°, γ = 90.00°
Site moments in Bohr magnetons follow the coordinates.
Atoms (fractional coordinates):
Fe1 0.500 0.251 0.502  3.27
Fe2 0.500 0.749 0.498  3.27
Cu1 0.500 0.000 0.000  0.04
Cu2 0.000 0.241 0.000  0.01
Cu3 0.000 0.759 0.000  0.01
Pd1 0.000 0.622 0.243  0.26
Pd2 0.000 0.378 0.757  0.26
Pd3 0.000 0.136 0.272  0.25
Pd4 0.000 0.864 0.728  0.25
Pd5 0.500 0.616 0.744  0.25
Pd6 0.500 0.129 0.744  0.25
Pd7 0.500 0.871 0.256  0.25
Pd8 0.500 0.384 0.256  0.25

Output
* calculated volume: 15.77 Å³/atom
* SG: Cmmm (65)

Stability ranking, top and bottom: a) is the most stable and b) is the least stable.

a) The following is a DFT calculation (PBE-GGA) of a relaxed structure of FeCu5Pd6.

a = 4.304 Å, b = 5.970 Å, c = 6.796 Å
α = 90.00°, β = 71.54°, γ = 90.00°
Site moments in Bohr magnetons follow the coordinates.
Atoms (fractional coordinates):
Pd1 0.835 0.750 0.331  0.13
Pd2 0.835 0.250 0.331  0.13
Pd3 0.500 0.249 0.000  0.16
Pd4 0.500 0.751 0.000  0.16
Pd5 0.165 0.750 0.669  0.13
Pd6 0.165 0.250 0.669  0.13
Fe1 0.000 0.000 0.000  3.34
Cu1 0.667 0.500 0.666  0.01
Cu2 0.332 0.000 0.336  0.04
Cu3 0.000 0.500 0.000  0.05
Cu4 0.668 0.000 0.664  0.04
Cu5 0.333 0.500 0.334  0.01

Output
* calculated volume: 13.80 Å³/atom
* SG: Cmmm (65)

b) The following is a DFT calculation (PBE-GGA) of a relaxed structure of FeCu5Pd6.

a = 8.669 Å, b = 4.766 Å, c = 4.761 Å
α = 59.97°, β = 84.71°, γ = 79.39°
Site moments in Bohr magnetons follow the coordinates.
Atoms (fractional coordinates):
Fe1 0.000 0.000 0.000  3.21
Cu1 0.500 0.165 0.670  0.01
Cu2 0.000 0.333 0.334  0.07
Cu3 0.500 0.500 0.000  0.02
Cu4 0.000 0.667 0.666  0.07
Cu5 0.500 0.835 0.330  0.01
Pd1 0.751 0.083 0.333  0.12
Pd2 0.249 0.584 0.333  0.12
Pd3 0.247 0.250 0.000  0.12
Pd4 0.753 0.750 0.000  0.12
Pd5 0.751 0.416 0.667  0.12
Pd6 0.249 0.917 0.667  0.12

Output
* calculated volume: 13.95 Å³/atom
* SG: C2/m (12)

Stability ranking, top and bottom: a) is the most stable and b) is the least stable.

a) The following is a DFT calculation (PBE-GGA) of a relaxed structure of Fe2CuPd2.

a = 7.335 Å, b = 7.335 Å, c = 2.730 Å
α = 90.00°, β = 90.00°, γ = 90.00°
Site moments in Bohr magnetons follow the coordinates.
Atoms (fractional coordinates):
Cu1 0.000 0.000 0.000  0.04
Cu2 0.500 0.500 0.000  0.04
Pd1 0.365 0.865 0.000  0.33
Pd2 0.865 0.635 0.000  0.34
Pd3 0.635 0.135 0.000  0.33
Pd4 0.135 0.365 0.000  0.34
Fe1 0.162 0.662 0.500  3.05
Fe2 0.662 0.838 0.500  3.05
Fe3 0.838 0.338 0.500  3.05
Fe4 0.338 0.162 0.500  3.05

Output
* calculated volume: 14.69 Å³/atom
* SG: P4/mbm (127)

b) The following is a DFT calculation (PBE-GGA) of a relaxed structure of Fe2CuPd2.

a = 2.671 Å, b = 2.715 Å, c = 9.647 Å
α = 81.91°, β = 90.00°, γ = 90.00°
Site moments in Bohr magnetons follow the coordinates.
Atoms (fractional coordinates):
Fe1 0.000 0.197 0.606  2.83
Fe2 0.000 0.803 0.394  2.83
Cu1 0.000 0.000 0.000  0.00
Pd1 0.500 0.401 0.199  0.19
Pd2 0.500 0.599 0.801  0.19

Output
* calculated volume: 13.85 Å³/atom
* SG: Cmmm (65)

c) The following is a DFT calculation (PBE-GGA) of a relaxed structure of Fe2CuPd2.

a = 3.106 Å, b = 3.106 Å, c = 7.457 Å
α = 77.98°, β = 77.98°, γ = 90.00°
Atoms (fractional coordinates):
Cu1 0.000 0.000 0.000
Pd1 0.398 0.398 0.204
Pd2 0.602 0.602 0.796
Fe1 0.750 0.250 0.500
Fe2 0.250 0.750 0.500

Output
* calculated volume: 13.75 Å³/atom
* SG: I4/mmm (139)

Stability ranking, top and bottom: b) is the most stable and c) is the least stable.

a) The following is a DFT calculation (PBE-GGA) of a relaxed structure of FeCu2Pd5.

a = 6.465 Å, b = 6.465 Å, c = 7.227 Å
α = 116.57°, β = 116.57°, γ = 90.00°
Site moments in Bohr magnetons follow the coordinates.
Atoms (fractional coordinates):
Fe1 0.750 0.750 0.500  3.33
Fe2 0.250 0.250 0.500  3.33
Cu1 0.136 0.364 0.000  0.04
Cu2 0.636 0.136 0.000  0.04
Cu3 0.364 0.864 0.000  0.04
Cu4 0.864 0.636 0.000  0.04
Pd1 0.498 0.686 0.685  0.21
Pd2 0.814 0.002 0.315  0.21
Pd3 0.000 0.000 0.000  0.14
Pd4 0.500 0.500 0.000  0.14
Pd5 0.186 0.998 0.685  0.21
Pd6 0.686 0.186 0.685  0.21
Pd7 0.998 0.498 0.685  0.21
Pd8 0.314 0.814 0.315  0.21
Pd9 0.002 0.502 0.315  0.21
Pd10 0.502 0.314 0.315  0.21

Output
* calculated volume: 14.62 Å³/atom
* SG: I4/mcm (140)

b) The following is a DFT calculation (PBE-GGA) of a relaxed structure of FeCu2Pd5.

a = 5.320 Å, b = 5.317 Å, c = 5.316 Å
α = 108.39°, β = 108.41°, γ = 111.65°
Site moments in Bohr magnetons follow the coordinates.
Atoms (fractional coordinates):
Fe1 0.814 0.805 0.000  3.32
Cu1 0.274 0.781 0.499  0.02
Cu2 0.775 0.282 0.501  0.02
Pd1 0.289 0.296 0.529  0.16
Pd2 0.296 0.762 0.000  0.16
Pd3 0.766 0.289 0.000  0.16
Pd4 0.761 0.767 0.471  0.16
Pd5 0.249 0.242 0.000  0.11

Output
* calculated volume: 14.45 Å³/atom
* SG: Cm (8)

Stability ranking, top and bottom: b) is the most stable and a) is the least stable.

a) The following is a DFT calculation (PBE-GGA) of a relaxed structure of FeCu2Pd8.

a = 4.730 Å, b = 6.720 Å, c = 6.720 Å
α = 59.03°, β = 76.88°, γ = 76.88°
Site moments in Bohr magnetons follow the coordinates.
Atoms (fractional coordinates):
Fe1 0.000 0.000 0.000  3.19
Cu1 0.503 0.882 0.882  0.10
Cu2 0.497 0.118 0.118  0.10
Pd1 0.215 0.366 0.766  0.23
Pd2 0.785 0.234 0.634  0.23
Pd3 0.077 0.778 0.778  0.23
Pd4 0.923 0.222 0.222  0.23
Pd5 0.215 0.766 0.366  0.23
Pd6 0.785 0.634 0.234  0.23
Pd7 0.662 0.651 0.651  0.15
Pd8 0.338 0.349 0.349  0.15

Output
* calculated volume: 16.07 Å³/atom
* SG: C2/m (12)

b) The following is a DFT calculation (PBE-GGA) of a relaxed structure of FeCu2Pd8.

a = 3.929 Å, b = 6.166 Å, c = 7.208 Å
α = 105.74°, β = 105.81°, γ = 90.00°
Site moments in Bohr magnetons follow the coordinates.
Atoms (fractional coordinates):
Pd1 0.595 0.453 0.190  0.20
Pd2 0.319 0.086 0.639  0.22
Pd3 0.138 0.188 0.277  0.23
Pd4 0.046 0.732 0.091  0.26
Pd5 0.862 0.812 0.723  0.23
Pd6 0.681 0.914 0.361  0.22
Pd7 0.405 0.547 0.810  0.20
Pd8 0.954 0.268 0.909  0.26
Fe1 0.500 0.000 0.000  3.35
Cu1 0.227 0.636 0.454  0.05
Cu2 0.773 0.364 0.546  0.05

Output
* calculated volume: 14.65 Å³/atom
* SG: C2/m (12)

Stability ranking, top and bottom: b) is the most stable and a) is the least stable.

a) The following is a DFT calculation (PBE-GGA) of a relaxed structure of FeCu3Pt.

a = 4.322 Å, b = 4.322 Å, c = 4.322 Å
α = 90.00°, β = 90.00°, γ = 90.00°
Site moments in Bohr magnetons follow the coordinates.
Atoms (fractional coordinates):
Cu1 0.000 0.500 0.000  0.19
Cu2 0.000 0.000 0.500  0.30
Cu3 0.500 0.000 0.000  0.05
Pt1 0.500 0.500 0.500  0.01
Fe1 0.000 0.000 0.000  2.53

Output
* calculated volume: 16.15 Å³/atom
* SG: Pm-3m (221)

b) The following is a DFT calculation (PBE-GGA) of a relaxed structure of FeCu3Pt.

a = 4.654 Å, b = 4.654 Å, c = 4.654 Å
α = 90.00°, β = 90.00°, γ = 90.00°
Site moments in Bohr magnetons follow the coordinates.
Atoms (fractional coordinates):
Cu1 0.000 0.500 0.000  -0.01
Cu2 0.000 0.000 0.500  0.01
Cu3 0.500 0.000 0.000  0.01
Pt1 0.000 0.000 0.000  0.03
Fe1 0.500 0.500 0.500  3.31

Output
* calculated volume: 20.17 Å³/atom
* SG: Pm-3m (221)

Stability ranking, top and bottom: a) is the most stable and b) is the least stable.

a) The following is a DFT calculation (PBE-GGA) of a relaxed structure of FeCu2Pt4.

a = 8.546 Å, b = 8.546 Å, c = 8.546 Å
α = 60.00°, β = 60.00°, γ = 60.00°
Site moments in Bohr magnetons follow the coordinates.
Atoms (fractional coordinates):
Pt1 0.013 0.013 0.487  0.24
Pt2 0.625 0.125 0.625  0.10
Pt3 0.237 0.763 0.763  0.24
Pt4 0.013 0.487 0.013  0.24
Pt5 0.487 0.487 0.013  0.24
Pt6 0.763 0.237 0.237  0.24
Pt7 0.237 0.763 0.237  0.24
Pt8 0.237 0.237 0.763  0.24
Pt9 0.487 0.013 0.013  0.24
Pt10 0.763 0.763 0.237  0.24
Pt11 0.625 0.625 0.125  0.10
Pt12 0.013 0.487 0.487  0.24
Pt13 0.487 0.013 0.487  0.24
Pt14 0.763 0.237 0.763  0.24
Pt15 0.625 0.625 0.625  0.10
Pt16 0.125 0.625 0.625  0.10
Fe1 0.625 0.125 0.125  3.26
Fe2 0.125 0.625 0.125  3.26
Fe3 0.125 0.125 0.125  3.26
Fe4 0.125 0.125 0.625  3.26
Cu1 0.387 0.387 0.838  0.05
Cu2 0.387 0.838 0.387  0.05
Cu3 0.387 0.387 0.387  0.05
Cu4 0.863 0.863 0.863  0.05
Cu5 0.863 0.863 0.412  0.05
Cu6 0.412 0.863 0.863  0.05
Cu7 0.838 0.387 0.387  0.05
Cu8 0.863 0.412 0.863  0.05

Output
* calculated volume: 15.76 Å³/atom
* SG: Fd-3m (227)

b) The following is a DFT calculation (PBE-GGA) of a relaxed structure of FeCu2Pt4.

a = 6.503 Å, b = 6.503 Å, c = 6.503 Å
α = 109.42°, β = 109.58°, γ = 109.42°
Site moments in Bohr magnetons follow the coordinates.
Atoms (fractional coordinates):
Fe1 0.000 0.000 0.000  3.17
Fe2 0.750 0.500 0.250  3.17
Cu1 0.875 0.127 0.502  0.08
Cu2 0.498 0.373 0.625  0.08
Cu3 0.375 0.873 0.748  0.08
Cu4 0.252 0.627 0.125  0.08
Pt1 0.120 0.909 0.371  0.24
Pt2 0.629 0.749 0.539  0.24
Pt3 0.960 0.591 0.711  0.24
Pt4 0.289 0.249 0.879  0.24
Pt5 0.630 0.751 0.040  0.24
Pt6 0.790 0.251 0.880  0.24
Pt7 0.461 0.091 0.210  0.24
Pt8 0.121 0.409 0.370  0.24

Output
* calculated volume: 15.12 Å³/atom
* SG: I-42d (122)

Stability ranking, top and bottom: a) is the most stable and b) is the least stable.

a) The following is a DFT calculation (PBE-GGA) of a relaxed structure of FeCuPt6.

a = 3.916 Å, b = 3.916 Å, c = 7.781 Å
α = 90.00°, β = 90.00°, γ = 90.00°
Site moments in Bohr magnetons follow the coordinates.
Atoms (fractional coordinates):
Fe1 0.000 0.000 0.000  3.25
Cu1 0.000 0.000 0.500  -0.02
Pt1 0.500 0.500 0.000  0.23
Pt2 0.500 0.500 0.500  0.09
Pt3 0.500 0.000 0.248  0.19
Pt4 0.500 0.000 0.752  0.19
Pt5 0.000 0.500 0.248  0.19
Pt6 0.000 0.500 0.752  0.19

Output
* calculated volume: 14.91 Å³/atom
* SG: P4/mmm (123)

b) The following is a DFT calculation (PBE-GGA) of a relaxed structure of FeCuPt6.

a = 4.664 Å, b = 4.664 Å, c = 6.999 Å
α = 73.67°, β = 73.67°, γ = 69.74°
Site moments in Bohr magnetons follow the coordinates.
Atoms (fractional coordinates):
Fe1 0.500 0.500 0.500  3.09
Cu1 0.000 0.000 0.000  0.07
Pt1 0.059 0.544 0.303  0.14
Pt2 0.544 0.059 0.303  0.14
Pt3 0.456 0.941 0.697  0.14
Pt4 0.941 0.456 0.697  0.14
Pt5 0.361 0.361 0.927  0.08
Pt6 0.639 0.639 0.073  0.08

Output
* calculated volume: 16.77 Å³/atom
* SG: C2/m (12)

Stability ranking, top and bottom: a) is the most stable and b) is the least stable.

a) The following is a DFT calculation (PBE-GGA) of a relaxed structure of FeCu2Pt2.

a = 3.818 Å, b = 4.577 Å, c = 4.713 Å
α = 77.95°, β = 66.10°, γ = 65.35°
Site moments in Bohr magnetons follow the coordinates.
Atoms (fractional coordinates):
Fe1 0.000 0.000 0.000  3.07
Cu1 0.196 0.198 0.409  0.05
Cu2 0.804 0.802 0.591  0.05
Pt1 0.594 0.616 0.197  0.23
Pt2 0.406 0.384 0.803  0.23

Output
* calculated volume: 13.67 Å³/atom
* SG: C2/m (12)

b) The following is a DFT calculation (PBE-GGA) of a relaxed structure of FeCu2Pt2.

a = 7.105 Å, b = 7.105 Å, c = 2.900 Å
α = 90.00°, β = 90.00°, γ = 90.00°
Site moments in Bohr magnetons follow the coordinates.
Atoms (fractional coordinates):
Cu1 0.158 0.658 0.500  0.05
Cu2 0.658 0.842 0.500  0.06
Cu3 0.842 0.342 0.500  0.05
Cu4 0.342 0.158 0.500  0.06
Pt1 0.359 0.859 0.000  0.16
Pt2 0.859 0.641 0.000  0.17
Pt3 0.641 0.141 0.000  0.16
Pt4 0.141 0.359 0.000  0.17
Fe1 0.000 0.000 0.000  3.22
Fe2 0.500 0.500 0.000  3.22

Output
* calculated volume: 14.64 Å³/atom
* SG: P4/mbm (127)

Stability ranking, top and bottom: a) is the most stable and b) is the least stable.

a) The following is a DFT calculation (PBE-GGA) of a relaxed structure of RbFeCu2.

a = 4.888 Å, b = 4.888 Å, c = 4.888 Å
α = 60.00°, β = 60.00°, γ = 60.00°
Site moments in Bohr magnetons follow the coordinates.
Atoms (fractional coordinates):
Cu1 0.250 0.250 0.250  0.05
Cu2 0.750 0.750 0.750  0.05
Rb1 0.500 0.500 0.500  0.00
Fe1 0.000 0.000 0.000  3.11

Output
* calculated volume: 20.65 Å³/atom
* SG: Fm-3m (225)

b) The following is a DFT calculation (PBE-GGA) of a relaxed structure of RbFeCu2.

a = 5.045 Å, b = 5.045 Å, c = 8.921 Å
α = 73.58°, β = 73.58°, γ = 90.00°
Site moments in Bohr magnetons follow the coordinates.
Atoms (fractional coordinates):
Cu1 0.375 0.125 0.250  0.11
Cu2 0.375 0.625 0.250  0.11
Cu3 0.375 0.625 0.750  0.11
Cu4 0.875 0.625 0.750  0.09
Rb1 0.000 0.000 0.000  -0.01
Rb2 0.750 0.250 0.500  -0.01
Fe1 0.500 0.500 0.000  2.88
Fe2 0.250 0.750 0.500  2.88

Output
* calculated volume: 26.01 Å³/atom
* SG: I4_1/amd (141)

Stability ranking, top and bottom: b) is the most stable and a) is the least stable.

a) The following is a DFT calculation (PBE-GGA) of a relaxed structure of RbFe3Cu.

a = 4.730 Å, b = 4.730 Å, c = 4.730 Å
α = 90.00°, β = 90.00°, γ = 90.00°
Site moments in Bohr magnetons follow the coordinates.
Atoms (fractional coordinates):
Cu1 0.000 0.000 0.000  0.23
Rb1 0.500 0.500 0.500  0.00
Fe1 0.000 0.500 0.000  3.19
Fe2 0.000 0.000 0.500  3.47
Fe3 0.500 0.000 0.000  2.66

Output
* calculated volume: 21.16 Å³/atom
* SG: Pm-3m (221)

b) The following is a DFT calculation (PBE-GGA) of a relaxed structure of RbFe3Cu.

a = 4.609 Å, b = 4.609 Å, c = 4.609 Å
α = 90.00°, β = 90.00°, γ = 90.00°
Site moments in Bohr magnetons follow the coordinates.
Atoms (fractional coordinates):
Cu1 0.500 0.500 0.500  0.05
Rb1 0.000 0.000 0.000  -0.02
Fe1 0.000 0.500 0.000  2.69
Fe2 0.000 0.000 0.500  2.43
Fe3 0.500 0.000 0.000  2.84

Output
* calculated volume: 19.58 Å³/atom
* SG: Pm-3m (221)

Stability ranking, top and bottom: a) is the most stable and b) is the least stable.